GGA-PBE NdRh4Au, relaxed; crystal system = cubic; formation energy = -0.269 eV per atom
1.0
5.306 0.000 0.000
2.653 4.595 0.000
2.653 1.532 4.332
Nd Au Rh
1 1 4
direct
0.250 0.250 0.250
0.000 0.000 0.000
0.626 0.626 0.123
0.626 0.123 0.626
0.626 0.626 0.626
0.123 0.626 0.626

GGA-PBE Nd6Rh3Au, relaxed; crystal system = monoclinic; formation energy = -0.591 eV per atom
1.0
4.162 0.000 0.000
0.000 11.426 -3.849
0.000 -0.050 11.996
Nd Rh Au
12 6 2
direct
0.750 0.460 0.603
0.250 0.540 0.397
0.750 0.936 0.102
0.250 0.064 0.898
0.750 0.391 0.052
0.250 0.609 0.948
0.750 0.719 0.265
0.250 0.281 0.735
0.750 0.125 0.458
0.250 0.875 0.542
0.750 0.776 0.765
0.250 0.224 0.235
0.750 0.450 0.834
0.250 0.550 0.166
0.750 0.698 0.506
0.250 0.302 0.494
0.750 0.158 0.071
0.250 0.842 0.929
0.750 0.061 0.696
0.250 0.939 0.304

GGA-PBE Nd7Rh2Au2, relaxed; crystal system = orthorhombic; formation energy = -0.548 eV per atom
1.0
3.908 0.000 0.838
1.039 8.314 4.687
-0.015 -0.099 9.600
Nd Rh Au
7 2 2
direct
0.810 0.080 0.299
0.884 0.384 0.848
0.500 0.982 0.018
0.606 0.503 0.285
0.394 0.715 0.497
0.190 0.701 0.920
0.116 0.152 0.616
0.000 0.775 0.225
0.500 0.359 0.641
0.737 0.864 0.662
0.263 0.338 0.136

GGA-PBE Nd2Rh2Au, relaxed; crystal system = orthorhombic; formation energy = -0.696 eV per atom
1.0
3.899 0.000 0.000
0.000 3.865 -1.099
0.000 0.056 7.544
Nd Rh Au
2 2 1
direct
0.500 0.633 0.267
0.500 0.367 0.733
0.000 0.190 0.380
0.000 0.810 0.620
0.000 0.000 0.000

GGA-PBE Nd3Rh2Au, relaxed; crystal system = orthorhombic; formation energy = -0.511 eV per atom
1.0
3.714 0.000 -1.175
0.000 4.537 0.000
0.537 0.000 8.155
Nd Rh Au
3 2 1
direct
0.336 0.000 0.672
0.664 0.000 0.328
0.500 0.500 0.000
0.174 0.500 0.349
0.826 0.500 0.651
0.000 0.000 0.000

GGA-PBE Nd2Rh2Au, relaxed; crystal system = tetragonal; formation energy = -0.700 eV per atom
1.0
-3.545 0.796 -1.493
-2.747 -6.156 3.242
-1.682 3.970 6.113
Nd Rh Au
4 4 2
direct
0.500 0.174 0.674
0.500 0.674 0.826
0.500 0.826 0.326
0.500 0.326 0.174
0.000 0.369 0.869
0.000 0.869 0.631
0.000 0.631 0.131
0.000 0.131 0.369
0.000 0.000 0.000
0.000 0.500 0.500

The lowest formation energy belongs to which entry? number 6

The lowest formation energy belongs to which entry? number 6

The lowest formation energy belongs to which entry? number 6